No. 1
Below is a geometry-optimized Be2Nb2Si structure, with properties calculated at the PBE level.

- size of the total moment (Bohr magnetons per cell) = 0.00
- crystal system = tetragonal
- DOS(E_F) (states/eV/atom) = 0.5921
- raw total energy (eV per atom) = -6.93

Lattice parameters (Å, degrees): 6.0022 6.0022 3.5903 90.00 90.00 90.00
With the nearest neighbours (Å) after each atom.
Fractional coordinates of all 10 atoms:
Be (0.1196, 0.3804, 0.0000)  1 Be 2.03
Be (0.3804, 0.8804, 0.0000)  1 Be 2.03
Be (0.6196, 0.1196, 0.0000)  1 Be 2.03
Be (0.8804, 0.6196, 0.0000)  1 Be 2.03
Nb (0.1793, 0.6793, 0.5000)  6 Be 2.48-2.56
Nb (0.3207, 0.1793, 0.5000)  6 Be 2.48-2.56
Nb (0.6793, 0.8207, 0.5000)  6 Be 2.48-2.56
Nb (0.8207, 0.3207, 0.5000)  6 Be 2.48-2.56
Si (0.0000, 0.0000, 0.0000)  4 Be 2.39
Si (0.5000, 0.5000, 0.0000)  4 Be 2.39


No. 2
Below is a geometry-optimized BeNb2Si2 structure, with properties calculated at the PBE level.

- size of the total moment (Bohr magnetons per cell) = 0.00
- crystal system = tetragonal
- DOS(E_F) (states/eV/atom) = 0.5403
- raw total energy (eV per atom) = -7.28

Lattice parameters (Å, degrees): 6.3741 6.3741 3.6103 90.00 90.00 90.00
With the nearest neighbours (Å) after each atom.
Fractional coordinates of all 10 atoms:
Be (0.0000, 0.0000, 0.0000)  4 Si 2.49
Be (0.5000, 0.5000, 0.0000)  4 Si 2.49
Nb (0.1699, 0.3301, 0.5000)  6 Si 2.54-2.65
Nb (0.3301, 0.8301, 0.5000)  6 Si 2.54-2.65
Nb (0.6699, 0.1699, 0.5000)  6 Si 2.54-2.65
Nb (0.8301, 0.6699, 0.5000)  6 Si 2.54-2.65
Si (0.1326, 0.6326, 0.0000)  1 Si 2.39, 2 Be 2.49, 6 Nb 2.54-2.65
Si (0.3674, 0.1326, 0.0000)  1 Si 2.39, 2 Be 2.49, 6 Nb 2.54-2.65
Si (0.6326, 0.8674, 0.0000)  1 Si 2.39, 2 Be 2.49, 6 Nb 2.54-2.65
Si (0.8674, 0.3674, 0.0000)  1 Si 2.39, 2 Be 2.49, 6 Nb 2.54-2.65


No. 3
Below is a geometry-optimized BeNb2Si structure, with properties calculated at the PBE level.

- size of the total moment (Bohr magnetons per cell) = 0.00
- crystal system = tetragonal
- DOS(E_F) (states/eV/atom) = 0.1228
- raw total energy (eV per atom) = -7.30

Lattice parameters (Å, degrees): 5.4930 5.4930 5.4930 104.32 104.32 120.34
With the nearest neighbours (Å) after each atom.
Fractional coordinates of all 8 atoms:
Be (0.0000, 0.0000, 0.0000)  4 Nb 2.45, 2 Si 2.73
Be (0.7500, 0.2500, 0.5000)  4 Nb 2.45, 2 Si 2.73
Nb (0.1181, 0.6250, 0.9931)  2 Be 2.45, 2 Si 2.51, 2 Nb 2.73
Nb (0.3750, 0.3681, 0.4931)  2 Be 2.45, 2 Si 2.51, 2 Nb 2.73
Nb (0.6319, 0.1250, 0.0069)  2 Be 2.45, 2 Si 2.51, 2 Nb 2.73
Nb (0.8750, 0.8819, 0.5069)  2 Be 2.45, 2 Si 2.51, 2 Nb 2.73
Si (0.2500, 0.7500, 0.5000)  4 Nb 2.51, 2 Be 2.73
Si (0.5000, 0.5000, 0.0000)  4 Nb 2.51, 2 Be 2.73


No. 4
Below is a geometry-optimized Be2NbSi structure, with properties calculated at the PBE level.

- size of the total moment (Bohr magnetons per cell) = 0.00
- crystal system = tetragonal
- DOS(E_F) (states/eV/atom) = 0.4866
- raw total energy (eV per atom) = -5.56

Lattice parameters (Å, degrees): 5.2156 5.2156 5.2156 103.07 103.07 123.21
With the nearest neighbours (Å) after each atom.
Fractional coordinates of all 8 atoms:
Be (0.0898, 0.1250, 0.4648)  2 Si 2.23
Be (0.3750, 0.9102, 0.0352)  2 Si 2.23
Be (0.6602, 0.6250, 0.5352)  2 Si 2.23
Be (0.8750, 0.3398, 0.9648)  2 Si 2.23
Nb (0.2500, 0.7500, 0.5000)  2 Si 2.48, 4 Be 2.54
Nb (0.5000, 0.5000, 0.0000)  2 Si 2.48, 4 Be 2.54
Si (0.0000, 0.0000, 0.0000)  4 Be 2.23, 2 Nb 2.48
Si (0.7500, 0.2500, 0.5000)  4 Be 2.23, 2 Nb 2.48